# NpCoGe3

A relaxed NpCoGe3 crystal (PBE, Alexandria).

Cell lengths 4.362, 14.450, 5.728 Å; angles 90.00, 90.00, 90.00 degrees
Space group Cmcm (No. 63)
One atom of each set of equivalent atoms:
Np: 0.000 0.101 0.250 (multiplicity 4)
Co: 0.000 0.462 0.250 (multiplicity 4)
Ge: 0.000 0.101 0.750 (multiplicity 4)
Ge: 0.000 0.303 0.022 (multiplicity 8)

## Properties
- Calculated formation energy: 103 meV per atom
- Excess energy over the best structure of this formula in the dataset: 1.79 eV per formula unit